Material: H10IrC2Cl3O3
Method: DFT, PBE
State: relaxed

Cell and atoms, written as POSCAR:
```
H10IrC2Cl3O3
1.0
-5.033 4.896 0.893
-4.711 -5.253 2.243
5.398 1.293 6.484
O C H Ir Cl
6 4 20 2 6
Cartesian
0.107 2.867 6.144
-2.113 -2.186 4.563
-2.233 3.122 5.057
-6.240 1.797 3.109
-4.453 -1.931 3.477
1.895 -0.861 6.511
0.893 4.009 5.725
1.150 -2.030 6.944
-5.495 2.966 2.676
-5.239 -3.073 3.895
-4.702 3.206 3.393
-2.048 -2.772 5.365
-3.584 -1.918 4.003
-5.073 2.739 1.700
-2.794 2.314 4.889
-1.567 -2.880 3.134
0.123 1.297 1.589
0.243 4.892 5.788
-2.778 3.816 6.486
-6.079 -3.170 3.202
1.734 4.106 6.418
0.357 -2.270 6.227
-3.168 2.037 7.913
0.727 -1.803 7.921
-0.761 2.854 5.617
-3.446 -1.371 6.947
-0.900 2.307 2.673
-2.297 3.708 4.255
-1.551 -1.378 4.731
-1.178 -1.101 1.707
0.963 0.989 6.332
-5.309 -0.053 3.289
-4.183 0.705 5.179
-3.450 0.428 1.889
2.873 1.515 5.060
-0.162 0.231 4.441
-7.219 -0.579 4.560
-0.895 0.508 7.732
```

Properties
total DFT energy (no corrections)	-4.846	eV per atom